(1)
The following is a DFT calculation (GGA-PBE) of a relaxed AlCoNiW crystal.

Cell lengths 4.168, 4.168, 4.168 Å; angles 60.00, 60.00, 60.00 degrees
Element x y z (fractional)
Ni (0.250, 0.250, 0.250)
Co (0.750, 0.750, 0.750)
Al (0.500, 0.500, 0.500)
W (0.000, 0.000, 0.000)

Properties
Fermi-level density of states   1.096 states/eV/atom
DFT total energy   -30.24 eV for the cell shown
E_form   -15.9 kJ per mole of atoms
Space-group type   No. 216
Total magnetic moment   0.16 μB/f.u.

(2)
The following is a DFT calculation (GGA-PBE) of a relaxed SmTl3Ag3 crystal.

Cell lengths 7.670, 7.670, 7.670 Å; angles 90.00, 90.00, 90.00 degrees
Element x y z (fractional)
Tl (0.000, 0.500, 0.750)
Ag (0.500, 0.000, 0.250)
Ag (0.000, 0.250, 0.500)
Tl (0.250, 0.000, 0.500)
Ag (0.250, 0.500, 0.000)
Tl (0.500, 0.750, 0.000)
Tl (0.000, 0.500, 0.250)
Ag (0.000, 0.750, 0.500)
Tl (0.750, 0.000, 0.500)
Tl (0.500, 0.250, 0.000)
Sm (0.500, 0.500, 0.500)
Ag (0.750, 0.500, 0.000)
Sm (0.000, 0.000, 0.000)
Ag (0.500, 0.000, 0.750)

Properties
Fermi-level density of states   0.878 states/eV/atom
DFT total energy   -33.58 eV for the cell shown
E_form   49.4 kJ per mole of atoms
Space-group type   No. 223
Total magnetic moment   0.00 μB/f.u.

What is the formula in the first record?
AlCoNiW

Which value of Fermi-level density of states does entry 1 give?
1.096 states/eV/atom

Which of these has the highest DFT total energy?
AlCoNiW

The lowest Fermi-level density of states belongs to which entry?
SmTl3Ag3